# Ba2AgRh

A relaxed Ba2AgRh crystal (PBE, Alexandria via LeMat-Bulk).

Values from the calculation:
The calculated formation energy is -0.046 eV per atom. The calculation puts the total DFT energy (no corrections) at -3.558 eV/atom.

Geometry as CIF:
```
data_Ba2AgRh
_chemical_formula_sum 'Ba2 Ag1 Rh1'
_cell_length_a 6.755
_cell_length_b 6.755
_cell_length_c 6.755
_cell_angle_alpha 145.44
_cell_angle_beta 135.42
_cell_angle_gamma 57.60
_symmetry_space_group_name_H-M 'P 1'
_symmetry_Int_Tables_number 1
loop_
_symmetry_equiv_pos_as_xyz
'x,y,z'
loop_
_atom_site_label
_atom_site_type_symbol
_atom_site_fract_x
_atom_site_fract_y
_atom_site_fract_z
Ba1 Ba 0.008 0.008 0.000
Ba2 Ba 0.715 0.215 0.500
Ag1 Ag 0.307 0.807 0.500
Rh1 Rh 0.470 0.470 0.000
```